## Cr3CoF (GGA+U)

Data for Cr3CoF after structural relaxation.

The structure in POSCAR format:
```
Cr3CoF
1.0
4.7733 0.0000 0.0000
0.0000 4.7733 0.0000
0.0000 0.0000 4.7733
Cr Co F
3 1 1
direct
0.0000 0.0000 0.5000
0.0000 0.5000 0.0000
0.5000 0.0000 0.0000
0.0000 0.0000 0.0000
0.5000 0.5000 0.5000
```

Properties
space-group type	Pm-3m (221)
magnetic moment	12.28	μB per cell
uncorrected energy	-5.1126	eV per atom
DOS(E_F)	0.43	states/eV/atom
relative energy among the computed polymorphs	450.6	meV per atom